VASP calculation (SCAN) on a PBEsol-optimized structure of NaLiO2F.

Structure (CIF):
```
data_NaLiO2F
_cell_length_a 3.725
_cell_length_b 3.725
_cell_length_c 3.900
_cell_angle_alpha 90.00
_cell_angle_beta 90.00
_cell_angle_gamma 90.00
_symmetry_space_group_name_H-M 'P 4/m m m'
_symmetry_Int_Tables_number 123
_symmetry_space_group_name_Hall '-P 4 2'
loop_
_atom_site_label
_atom_site_type_symbol
_atom_site_fract_x
_atom_site_fract_y
_atom_site_fract_z
Na1 Na 0.000 0.000 0.000
Li1 Li 0.500 0.500 0.500
O1 O 0.000 0.500 0.500
F1 F 0.500 0.500 0.000
```

## Properties
- E (eV/atom) = -5.610
- Fermi-level density of states (states/eV/cell) = 1.22


VASP calculation (SCAN) on a PBEsol-optimized structure of NaLiVO2F2.

Structure (CIF):
```
data_NaLiVO2F2
_cell_length_a 6.581
_cell_length_b 3.700
_cell_length_c 7.089
_cell_angle_alpha 90.00
_cell_angle_beta 117.24
_cell_angle_gamma 90.00
_symmetry_space_group_name_H-M 'P 1 21/m 1'
_symmetry_Int_Tables_number 11
_symmetry_space_group_name_Hall '-P 2yb'
loop_
_atom_site_label
_atom_site_type_symbol
_atom_site_fract_x
_atom_site_fract_y
_atom_site_fract_z
Na1 Na 0.026 0.250 0.189
Li1 Li 0.345 0.750 0.454
V1 V 0.428 0.250 0.805
O1 O 0.347 0.250 0.536
O2 O 0.453 0.750 0.868
F1 F 0.116 0.250 0.754
F2 F 0.243 0.750 0.154
```

## Properties
- E (eV/atom) = -9.005
- Fermi-level density of states (states/eV/cell) = 1.43